Nb2CoO: optimized geometry, PBE with a Hubbard U.

Summary:
- calculated total energy (eV/atom) = -7.81
- total moment (μB per cell) = 1.723
- theoretical density (g cm⁻³) = 7.47

Lattice parameters (Å, degrees): 2.8130 2.8130 8.6082 80.60 80.60 60.00
With the nearest neighbours (Å) after each atom.
Atoms (fractional coordinates):
Co 0.0000 0.0000 0.0000  2 Nb 2.61, 6 Co 2.81
Nb 0.8971 0.8971 0.3086  3 O 2.29
Nb 0.1029 0.1029 0.6914  3 O 2.29
O 0.5000 0.5000 0.5000  6 Nb 2.29